# PuCr2O8, relaxed, DFT GGA+U
# E_tot   -85.9 eV/cell
# Space group   C2/m
data_PuCr2O8
_chemical_formula_sum 'Pu1 Cr2 O8'
_cell_length_a 3.945
_cell_length_b 5.988
_cell_length_c 5.988
_cell_angle_alpha 68.71
_cell_angle_beta 90.41
_cell_angle_gamma 90.41
_space_group_name_H-M_alt 'P 1'
_space_group_IT_number 1
loop_
_space_group_symop_operation_xyz
'x,y,z'
loop_
_atom_site_label
_atom_site_fract_x
_atom_site_fract_y
_atom_site_fract_z
_atom_site_occupancy
Cr1 0.251 0.614 0.614 1
O1 0.249 0.787 0.787 1
O2 0.751 0.213 0.213 1
O3 0.250 0.419 0.419 1
Pu1 0.000 0.000 0.000 1
O4 0.758 0.699 0.112 1
Cr2 0.749 0.386 0.386 1
O5 0.242 0.888 0.301 1
O6 0.750 0.581 0.581 1
O7 0.242 0.301 0.888 1
O8 0.758 0.112 0.699 1